An optimized crystal structure of V4O7, computed with PBE with a Hubbard U.

Cell and atoms, written as POSCAR:
```
V4O7
1.0
-1.1307 -1.7313 5.3713
4.8289 -4.0810 1.0277
4.0827 5.0310 3.0170
V O
8 14
Direct
0.8187 0.6701 0.4208 V
0.7222 0.6246 0.0097 V
0.1813 0.3299 0.5792 V
0.2177 0.7835 0.2157 V
0.7823 0.2165 0.7843 V
0.2719 0.7877 0.7018 V
0.7281 0.2123 0.2982 V
0.2778 0.3754 0.9903 V
0.0194 0.5639 0.1718 O
0.8994 0.9379 0.3017 O
0.6124 0.8110 0.6408 O
0.2661 0.1299 0.1939 O
0.4435 0.3034 0.7464 O
0.7339 0.8701 0.8061 O
0.1006 0.0621 0.6983 O
0.6493 0.3182 0.0472 O
0.9806 0.4361 0.8282 O
0.3507 0.6818 0.9528 O
0.1697 0.6406 0.5018 O
0.8303 0.3594 0.4982 O
0.3876 0.1890 0.3592 O
0.5565 0.6966 0.2536 O
```

Summary:
space-group type = P-1 (2)
VASP energy = -7.54 eV/atom